Arrangement P

VASP calculation (GGA-PBE) on crystalline KTbCoTe3 at its relaxed geometry.

The structure in CIF format:
```
data_KTbCoTe3
_cell_length_a 11.532
_cell_length_b 4.259
_cell_length_c 15.839
_cell_angle_alpha 90.00
_cell_angle_beta 90.00
_cell_angle_gamma 90.00
_symmetry_space_group_name_H-M 'P n m a'
_symmetry_Int_Tables_number 62
_symmetry_space_group_name_Hall '-P 2ac 2n'
loop_
_atom_site_label
_atom_site_type_symbol
_atom_site_fract_x
_atom_site_fract_y
_atom_site_fract_z
K1 K 0.225 0.250 0.005
Tb1 Tb 0.019 0.750 0.257
Co1 Co 0.238 0.750 0.783
Te1 Te 0.052 0.750 0.874
Te2 Te 0.087 0.250 0.386
Te3 Te 0.236 0.250 0.685
```

Crystal system   orthorhombic

Arrangement Q

VASP calculation (GGA-PBE) on crystalline KTbCoTe3 at its relaxed geometry.

The structure in CIF format:
```
data_KTbCoTe3
_cell_length_a 12.272
_cell_length_b 4.452
_cell_length_c 13.322
_cell_angle_alpha 90.00
_cell_angle_beta 90.00
_cell_angle_gamma 90.00
_symmetry_space_group_name_H-M 'P n m a'
_symmetry_Int_Tables_number 62
_symmetry_space_group_name_Hall '-P 2ac 2n'
loop_
_atom_site_label
_atom_site_type_symbol
_atom_site_fract_x
_atom_site_fract_y
_atom_site_fract_z
K1 K 0.180 0.250 0.001
Tb1 Tb 0.023 0.250 0.322
Co1 Co 0.250 0.250 0.707
Te1 Te 0.048 0.750 0.162
Te2 Te 0.106 0.250 0.563
Te3 Te 0.216 0.750 0.794
```

Crystal system   orthorhombic

Arrangement R

VASP calculation (GGA-PBE) on crystalline KTbCoTe3 at its relaxed geometry.

The structure in CIF format:
```
data_KTbCoTe3
_cell_length_a 17.499
_cell_length_b 4.529
_cell_length_c 9.315
_cell_angle_alpha 90.00
_cell_angle_beta 101.76
_cell_angle_gamma 90.00
_symmetry_space_group_name_H-M 'C 1 2/m 1'
_symmetry_Int_Tables_number 12
_symmetry_space_group_name_Hall '-C 2y'
loop_
_atom_site_label
_atom_site_type_symbol
_atom_site_fract_x
_atom_site_fract_y
_atom_site_fract_z
K1 K 0.147 0.000 0.071
Tb1 Tb 0.172 0.000 0.586
Co1 Co 0.001 0.500 0.659
Te1 Te 0.000 0.000 0.500
Te2 Te 0.000 0.500 0.000
Te3 Te 0.145 0.500 0.791
Te4 Te 0.149 0.500 0.351
```

Crystal system   monoclinic

Arrangement S

VASP calculation (GGA-PBE) on crystalline KTbCoTe3 at its relaxed geometry.

The structure in CIF format:
```
data_KTbCoTe3
_cell_length_a 10.730
_cell_length_b 4.368
_cell_length_c 16.043
_cell_angle_alpha 90.00
_cell_angle_beta 90.00
_cell_angle_gamma 90.00
_symmetry_space_group_name_H-M 'P n m a'
_symmetry_Int_Tables_number 62
_symmetry_space_group_name_Hall '-P 2ac 2n'
loop_
_atom_site_label
_atom_site_type_symbol
_atom_site_fract_x
_atom_site_fract_y
_atom_site_fract_z
K1 K 0.051 0.250 0.171
Tb1 Tb 0.161 0.750 0.447
Co1 Co 0.150 0.250 0.626
Te1 Te 0.024 0.750 0.616
Te2 Te 0.172 0.750 0.017
Te3 Te 0.217 0.250 0.776
```

Crystal system   orthorhombic

Name the least stable of them. arrangement R.